No. 1
Density functional theory data (PBE-GGA) for an optimized crystal structure of K5Na7.

Lattice parameters (Å, degrees): 4.9284 9.9516 14.3863 116.63 90.00 104.34
Atoms (fractional coordinates):
Na  0.9191  0.8382  0.2527
Na  0.3324  0.6649  0.0285
Na  0.6676  0.3351  0.9715
Na  0.5000  0.0000  0.5000
Na  0.0809  0.1618  0.7473
Na  0.4423  0.8845  0.7559
Na  0.5577  0.1155  0.2441
K  0.2400  0.4800  0.2313
K  0.0000  0.0000  0.0000
K  0.8477  0.6955  0.5129
K  0.1523  0.3045  0.4871
K  0.7600  0.5200  0.7687

## Properties
The energy of formation comes out at 0.0300 eV/atom. The value obtained for the magnetic moment is 0.000 μB/f.u. The density of states at the Fermi level comes out at 0.605 states/eV/atom.

No. 2
Density functional theory data (PBE-GGA) for an optimized crystal structure of K2Na7.

Lattice parameters (Å, degrees): 7.2107 7.2107 18.6725 78.87 78.87 60.00
Atoms (fractional coordinates):
Na  0.1095  0.6110  0.6686
Na  0.7220  0.7220  0.8341
Na  0.0000  0.5000  0.0000
Na  0.5000  0.5000  0.0000
Na  0.6110  0.6110  0.6686
Na  0.3890  0.8905  0.3314
Na  0.5000  0.5000  0.5000
Na  0.3890  0.3890  0.3314
Na  0.2780  0.2780  0.1659
Na  0.6113  0.6113  0.1660
Na  0.3887  0.3887  0.8340
Na  0.6110  0.1095  0.6686
Na  0.8905  0.3890  0.3314
Na  0.5000  0.0000  0.0000
K  0.8492  0.8492  0.4524
K  0.9453  0.9453  0.1641
K  0.0547  0.0547  0.8359
K  0.1508  0.1508  0.5476

## Properties
The energy of formation comes out at 0.0170 eV/atom. The value obtained for the magnetic moment is 0.000 μB/f.u. The density of states at the Fermi level comes out at 0.407 states/eV/atom.

No. 3
Density functional theory data (PBE-GGA) for an optimized crystal structure of K17Na12.

Lattice parameters (Å, degrees): 12.8555 12.8555 12.8555 109.47 109.47 109.47
Atoms (fractional coordinates):
K  0.6863  0.4060  0.0000
K  0.2803  0.5940  0.5940
K  0.0000  0.0000  0.6526
K  0.4060  0.0000  0.6863
K  0.4060  0.6863  0.0000
K  0.5940  0.2803  0.5940
K  0.3137  0.7197  0.3137
K  0.3474  0.3474  0.3474
K  0.0000  0.4060  0.6863
K  0.5940  0.5940  0.2803
K  0.0000  0.0000  0.0000
K  0.0000  0.6863  0.4060
K  0.6863  0.0000  0.4060
K  0.0000  0.6526  0.0000
K  0.3137  0.3137  0.7197
K  0.7197  0.3137  0.3137
K  0.6526  0.0000  0.0000
Na  0.1803  0.8205  0.8205
Na  0.3598  0.1795  0.0000
Na  0.3598  0.0000  0.1795
Na  0.0000  0.3598  0.1795
Na  0.6402  0.8197  0.6402
Na  0.0000  0.1795  0.3598
Na  0.8197  0.6402  0.6402
Na  0.1795  0.0000  0.3598
Na  0.1795  0.3598  0.0000
Na  0.8205  0.8205  0.1803
Na  0.6402  0.6402  0.8197
Na  0.8205  0.1803  0.8205

## Properties
The energy of formation comes out at 0.0175 eV/atom. The value obtained for the magnetic moment is 0.000 μB/f.u. The density of states at the Fermi level comes out at 0.715 states/eV/atom.

No. 4
Density functional theory data (PBE-GGA) for an optimized crystal structure of K5Na2.

Lattice parameters (Å, degrees): 6.9178 12.1833 10.9191 101.53 108.47 90.00
Atoms (fractional coordinates):
K  0.1207  0.0421  0.7514
K  0.3693  0.4579  0.2486
K  0.5266  0.1776  0.5673
K  0.7514  0.2500  0.0000
K  0.2486  0.7500  0.0000
K  0.6307  0.5421  0.7514
K  0.8793  0.9579  0.2486
K  0.4734  0.8224  0.4327
K  0.0407  0.6776  0.5673
K  0.9593  0.3224  0.4327
Na  0.8238  0.6097  0.1580
Na  0.6658  0.8903  0.8420
Na  0.1762  0.3903  0.8420
Na  0.3342  0.1097  0.1580

## Properties
The energy of formation comes out at 0.0197 eV/atom. The value obtained for the energy above the most stable polymorph in this dataset is 12 meV/atom. The value obtained for the magnetic moment is 0.000 μB/f.u. The density of states at the Fermi level comes out at 0.698 states/eV/atom.

Please write out number 3 again, unchanged.
Density functional theory data (PBE-GGA) for an optimized crystal structure of K17Na12.

Lattice parameters (Å, degrees): 12.8555 12.8555 12.8555 109.47 109.47 109.47
Atoms (fractional coordinates):
K  0.6863  0.4060  0.0000
K  0.2803  0.5940  0.5940
K  0.0000  0.0000  0.6526
K  0.4060  0.0000  0.6863
K  0.4060  0.6863  0.0000
K  0.5940  0.2803  0.5940
K  0.3137  0.7197  0.3137
K  0.3474  0.3474  0.3474
K  0.0000  0.4060  0.6863
K  0.5940  0.5940  0.2803
K  0.0000  0.0000  0.0000
K  0.0000  0.6863  0.4060
K  0.6863  0.0000  0.4060
K  0.0000  0.6526  0.0000
K  0.3137  0.3137  0.7197
K  0.7197  0.3137  0.3137
K  0.6526  0.0000  0.0000
Na  0.1803  0.8205  0.8205
Na  0.3598  0.1795  0.0000
Na  0.3598  0.0000  0.1795
Na  0.0000  0.3598  0.1795
Na  0.6402  0.8197  0.6402
Na  0.0000  0.1795  0.3598
Na  0.8197  0.6402  0.6402
Na  0.1795  0.0000  0.3598
Na  0.1795  0.3598  0.0000
Na  0.8205  0.8205  0.1803
Na  0.6402  0.6402  0.8197
Na  0.8205  0.1803  0.8205

## Properties
The energy of formation comes out at 0.0175 eV/atom. The value obtained for the magnetic moment is 0.000 μB/f.u. The density of states at the Fermi level comes out at 0.715 states/eV/atom.